Entry from Alexandria: crystalline TaNiTe at its relaxed geometry (PBE).

Calculated values
* formation energy without anion corrections: 0.15 eV/atom

The structure in CIF format:
```
data_TaNiTe
_cell_length_a 3.379
_cell_length_b 3.379
_cell_length_c 9.096
_cell_angle_alpha 90.00
_cell_angle_beta 90.00
_cell_angle_gamma 90.00
_space_group_name_H-M_alt 'I 4 m m'
_space_group_IT_number 107
_space_group_name_Hall 'I 4 -2'
loop_
_atom_site_label
_atom_site_fract_x
_atom_site_fract_y
_atom_site_fract_z
Ta1 0.000 0.000 0.000
Ni1 0.000 0.000 0.349
Te1 0.000 0.000 0.682
```

***

Entry from Alexandria: crystalline TaTlNiTe3 at its relaxed geometry (PBE).

Calculated values
* formation energy without anion corrections: -0.31 eV/atom

The structure in CIF format:
```
data_TaTlNiTe3
_cell_length_a 8.978
_cell_length_b 3.826
_cell_length_c 10.459
_cell_angle_alpha 90.00
_cell_angle_beta 111.52
_cell_angle_gamma 90.00
_space_group_name_H-M_alt 'P 1 21/m 1'
_space_group_IT_number 11
loop_
_space_group_symop_operation_xyz
'x,y,z'
'-x,-y,-z'
'-x,y+1/2,-z'
'x,-y+1/2,z'
loop_
_atom_site_label
_atom_site_fract_x
_atom_site_fract_y
_atom_site_fract_z
Ta1 0.029 0.250 0.308
Tl1 0.470 0.750 0.794
Ni1 0.016 0.750 0.106
Te1 0.162 0.250 0.610
Te2 0.189 0.750 0.953
Te3 0.261 0.750 0.329
```

***

Entry from Alexandria: crystalline TaTl2NiTe at its relaxed geometry (PBE).

Calculated values
* formation energy without anion corrections: 0.96 eV/atom

The structure in CIF format:
```
data_TaTl2NiTe
_cell_length_a 4.954
_cell_length_b 4.954
_cell_length_c 5.164
_cell_angle_alpha 90.00
_cell_angle_beta 90.00
_cell_angle_gamma 90.00
_space_group_name_H-M_alt 'P 4/m m m'
_space_group_IT_number 123
_space_group_name_Hall '-P 4 2'
loop_
_atom_site_label
_atom_site_fract_x
_atom_site_fract_y
_atom_site_fract_z
Ta1 0.000 0.000 0.000
Tl1 0.000 0.500 0.500
Ni1 0.500 0.500 0.500
Te1 0.500 0.500 0.000
```

***

Entry from Alexandria: crystalline ThTa2Ni9 at its relaxed geometry (PBE).

Calculated values
* energy of formation from the pure elements: -0.325 eV/atom

The structure in CIF format:
```
data_ThTa2Ni9
_cell_length_a 4.8503
_cell_length_b 4.8503
_cell_length_c 23.7529
_cell_angle_alpha 90.00
_cell_angle_beta 90.00
_cell_angle_gamma 120.00
_space_group_name_H-M_alt 'R -3 m'
_space_group_IT_number 166
_space_group_name_Hall '-R 3 2"'
loop_
_atom_site_label
_atom_site_fract_x
_atom_site_fract_y
_atom_site_fract_z
Th1 0.0000 0.0000 0.0000
Ta1 0.0000 0.0000 0.1437
Ni1 0.0000 0.0000 0.3335
Ni2 0.0000 0.0000 0.5000
Ni3 0.0048 0.5024 0.9123
```

***

Entry from Alexandria: crystalline ThTaNi2 at its relaxed geometry (PBE).

Calculated values
* energy of formation from the pure elements: -0.233 eV/atom

The structure in CIF format:
```
data_ThTaNi2
_cell_length_a 4.2610
_cell_length_b 4.2610
_cell_length_c 14.7309
_cell_angle_alpha 90.00
_cell_angle_beta 90.00
_cell_angle_gamma 120.00
_space_group_name_H-M_alt 'R -3 m'
_space_group_IT_number 166
_space_group_name_Hall '-R 3 2"'
loop_
_atom_site_label
_atom_site_fract_x
_atom_site_fract_y
_atom_site_fract_z
Th1 0.0000 0.0000 0.0000
Ta1 0.0000 0.0000 0.5000
Ni1 0.0000 0.0000 0.2021
```

***

Entry from Alexandria: crystalline ThTaNi at its relaxed geometry (PBE).

Calculated values
* energy of formation from the pure elements: -0.064 eV/atom

The structure in CIF format:
```
data_ThTaNi
_cell_length_a 5.499
_cell_length_b 9.273
_cell_length_c 18.390
_cell_angle_alpha 90.00
_cell_angle_beta 90.00
_cell_angle_gamma 90.00
_space_group_name_H-M_alt 'F d d d'
_space_group_IT_number 70
loop_
_space_group_symop_operation_xyz
'x,y,z'
'-x,-y,-z'
'-x+1/4,-y+1/4,z'
'x+1/4,y+1/4,-z'
'x,-y+1/4,-z+1/4'
'-x,y+1/4,z+1/4'
'-x+1/4,y,-z+1/4'
'x+1/4,-y,z+1/4'
'x,y+1/2,z+1/2'
'-x,-y+1/2,-z+1/2'
'-x+1/4,-y+3/4,z+1/2'
'x+1/4,y+3/4,-z+1/2'
'x,-y+3/4,-z+3/4'
'-x,y+3/4,z+3/4'
'-x+1/4,y+1/2,-z+3/4'
'x+1/4,-y+1/2,z+3/4'
'x+1/2,y,z+1/2'
'-x+1/2,-y,-z+1/2'
'-x+3/4,-y+1/4,z+1/2'
'x+3/4,y+1/4,-z+1/2'
'x+1/2,-y+1/4,-z+3/4'
'-x+1/2,y+1/4,z+3/4'
'-x+3/4,y,-z+3/4'
'x+3/4,-y,z+3/4'
'x+1/2,y+1/2,z'
'-x+1/2,-y+1/2,-z'
'-x+3/4,-y+3/4,z'
'x+3/4,y+3/4,-z'
'x+1/2,-y+3/4,-z+1/4'
'-x+1/2,y+3/4,z+1/4'
'-x+3/4,y+1/2,-z+1/4'
'x+3/4,-y+1/2,z+1/4'
loop_
_atom_site_label
_atom_site_fract_x
_atom_site_fract_y
_atom_site_fract_z
Th1 0.125 0.296 0.125
Ta1 0.125 0.125 0.544
Ni1 0.125 0.125 0.001
```

***

Entry from Alexandria: crystalline Th2TaNi at its relaxed geometry (PBE).

Calculated values
* energy of formation from the pure elements: 0.583 eV/atom

The structure in CIF format:
```
data_Th2TaNi
_cell_length_a 3.2982
_cell_length_b 3.2982
_cell_length_c 30.4641
_cell_angle_alpha 90.00
_cell_angle_beta 90.00
_cell_angle_gamma 120.00
_space_group_name_H-M_alt 'R -3 m'
_space_group_IT_number 166
_space_group_name_Hall '-R 3 2"'
loop_
_atom_site_label
_atom_site_fract_x
_atom_site_fract_y
_atom_site_fract_z
Th1 0.0000 0.0000 0.0965
Ta1 0.0000 0.0000 0.0000
Ni1 0.0000 0.0000 0.5000
```

***

Entry from Alexandria: crystalline ThTaNi4 at its relaxed geometry (PBE).

Calculated values
* energy of formation from the pure elements: -0.155 eV/atom

The structure in CIF format:
```
data_ThTaNi4
_cell_length_a 7.090
_cell_length_b 7.090
_cell_length_c 7.090
_cell_angle_alpha 90.00
_cell_angle_beta 90.00
_cell_angle_gamma 90.00
_space_group_name_H-M_alt 'F -4 3 m'
_space_group_IT_number 216
_space_group_name_Hall 'F -4 2 3'
loop_
_atom_site_label
_atom_site_fract_x
_atom_site_fract_y
_atom_site_fract_z
Th1 0.000 0.000 0.000
Ta1 0.250 0.250 0.250
Ni1 0.124 0.124 0.624
```

***

Entry from Alexandria: crystalline Ta2Ti2Ni at its relaxed geometry (PBE).

Calculated values
* energy of formation from the pure elements: 0.202 eV/atom

The structure in CIF format:
```
data_Ta2Ti2Ni
_cell_length_a 6.389
_cell_length_b 6.389
_cell_length_c 4.095
_cell_angle_alpha 90.00
_cell_angle_beta 90.00
_cell_angle_gamma 90.00
_space_group_name_H-M_alt 'P 4/m b m'
_space_group_IT_number 127
_space_group_name_Hall '-P 4 2ab'
loop_
_atom_site_label
_atom_site_fract_x
_atom_site_fract_y
_atom_site_fract_z
Ta1 0.163 0.337 0.000
Ti1 0.145 0.645 0.500
Ni1 0.000 0.000 0.500
```

***

Entry from Alexandria: crystalline TaTiNi5 at its relaxed geometry (PBE).

Calculated values
* energy of formation from the pure elements: -0.197 eV/atom

The structure in CIF format:
```
data_TaTiNi5
_cell_length_a 3.508
_cell_length_b 3.508
_cell_length_c 7.479
_cell_angle_alpha 90.00
_cell_angle_beta 90.00
_cell_angle_gamma 90.00
_space_group_name_H-M_alt 'P 4/m m m'
_space_group_IT_number 123
_space_group_name_Hall '-P 4 2'
loop_
_atom_site_label
_atom_site_fract_x
_atom_site_fract_y
_atom_site_fract_z
Ta1 0.000 0.000 0.000
Ti1 0.500 0.500 0.500
Ni1 0.000 0.000 0.500
Ni2 0.000 0.500 0.246
```

***

Entry from Alexandria: crystalline TaTiNi6 at its relaxed geometry (PBE).

Calculated values
* energy of formation from the pure elements: 0.243 eV/atom

The structure in CIF format:
```
data_TaTiNi6
_cell_length_a 6.2944
_cell_length_b 6.2944
_cell_length_c 9.6000
_cell_angle_alpha 90.00
_cell_angle_beta 90.00
_cell_angle_gamma 120.00
_space_group_name_H-M_alt 'R -3 m'
_space_group_IT_number 166
_space_group_name_Hall '-R 3 2"'
loop_
_atom_site_label
_atom_site_fract_x
_atom_site_fract_y
_atom_site_fract_z
Ta1 0.0000 0.0000 0.0000
Ti1 0.0000 0.0000 0.5000
Ni1 0.0837 0.5419 0.8883
```

***

Entry from Alexandria: crystalline TaTiNi2 at its relaxed geometry (PBE).

Calculated values
* energy of formation from the pure elements: -0.224 eV/atom

The structure in CIF format:
```
data_TaTiNi2
_cell_length_a 3.938
_cell_length_b 3.938
_cell_length_c 3.594
_cell_angle_alpha 90.00
_cell_angle_beta 90.00
_cell_angle_gamma 90.00
_space_group_name_H-M_alt 'P 4/m m m'
_space_group_IT_number 123
_space_group_name_Hall '-P 4 2'
loop_
_atom_site_label
_atom_site_fract_x
_atom_site_fract_y
_atom_site_fract_z
Ta1 0.000 0.000 0.000
Ti1 0.500 0.500 0.000
Ni1 0.000 0.500 0.500
```

***

Number 1: uncorrected energy -40.67 eV for the cell shown, DOS at the Fermi energy 3.8 states/eV/f.u.. Number 2: uncorrected energy -62.61 eV for the cell shown, DOS at the Fermi energy 1.6 states/eV/f.u.. Number 3: uncorrected energy -20.73 eV for the cell shown, DOS at the Fermi energy 5.3 states/eV/f.u.. Number 4: uncorrected energy -261.17 eV for the cell shown, DOS at the Fermi energy 9.4 states/eV/f.u.. Number 5: uncorrected energy -95.30 eV for the cell shown, DOS at the Fermi energy 3.6 states/eV/f.u.. Number 6: uncorrected energy -403.92 eV for the cell shown, DOS at the Fermi energy 2.9 states/eV/f.u.. Number 7: uncorrected energy -90.42 eV for the cell shown, DOS at the Fermi energy 4.1 states/eV/f.u.. Number 8: uncorrected energy -173.31 eV for the cell shown, DOS at the Fermi energy 9.4 states/eV/f.u.. Number 9: uncorrected energy -88.53 eV for the cell shown, DOS at the Fermi energy 3.1 states/eV/f.u.. Number 10: uncorrected energy -50.03 eV for the cell shown, DOS at the Fermi energy 4.4 states/eV/f.u.. Number 11: uncorrected energy -157.46 eV for the cell shown, DOS at the Fermi energy 6.2 states/eV/f.u.. Number 12: uncorrected energy -32.20 eV for the cell shown, DOS at the Fermi energy 5.3 states/eV/f.u..